The following is a DFT calculation (PBE-GGA) of an optimized crystal structure of LiLa2Co9.

N(E_F): 19.12 states/eV/f.u.
formation energy: 89 meV/atom
mass density: 7.65 Mg/m³

a = 4.9712 Å, b = 4.9712 Å, c = 24.8038 Å
α = 90.00°, β = 90.00°, γ = 120.00°
Space group R-3m (No. 166, hexagonal axes)
One atom of each set of equivalent atoms:
Li 0.0000 0.0000 0.0000 (multiplicity 3)
La 0.0000 0.0000 0.1368 (multiplicity 6)
Co 0.0000 0.0000 0.3329 (multiplicity 6)
Co 0.0000 0.0000 0.5000 (multiplicity 3)
Co 0.0042 0.5021 0.0772 (multiplicity 18)

=====

The following is a DFT calculation (PBE-GGA) of an optimized crystal structure of LiLaCo2.

N(E_F): 6.35 states/eV/f.u.
formation energy: 286 meV/atom
mass density: 6.80 Mg/m³
energy above the most stable polymorph in this dataset: 231 meV per atom

a = 4.098 Å, b = 4.098 Å, c = 3.836 Å
α = 90.00°, β = 90.00°, γ = 90.00°
Space group P4/mmm (No. 123)
One atom of each set of equivalent atoms:
Li 0.000 0.000 0.000 (multiplicity 1)
La 0.500 0.500 0.000 (multiplicity 1)
Co 0.000 0.500 0.500 (multiplicity 2)

=====

The following is a DFT calculation (PBE-GGA) of an optimized crystal structure of Li2La4Co.

N(E_F): 11.42 states/eV/f.u.
formation energy: 119 meV/atom
mass density: 4.57 Mg/m³

a = 5.257 Å, b = 5.257 Å, c = 16.531 Å
α = 90.00°, β = 90.00°, γ = 90.00°
Space group I4/mmm (No. 139)
One atom of each set of equivalent atoms:
Li 0.000 0.000 0.133 (multiplicity 4)
La 0.000 0.000 0.325 (multiplicity 4)
La 0.000 0.500 0.000 (multiplicity 4)
Co 0.000 0.000 0.500 (multiplicity 2)

=====

The following is a DFT calculation (PBE-GGA) of an optimized crystal structure of LiLaCo.

N(E_F): 3.97 states/eV/f.u.
formation energy: -22 meV/atom
mass density: 4.42 Mg/m³
energy above the most stable polymorph in this dataset: 0 meV per atom

a = 6.867 Å, b = 3.958 Å, c = 11.326 Å
α = 90.00°, β = 90.13°, γ = 90.00°
Space group C2/m (No. 12)
One atom of each set of equivalent atoms:
Li 0.167 0.000 0.079 (multiplicity 4)
La 0.000 0.500 0.331 (multiplicity 4)
Co 0.167 0.000 0.501 (multiplicity 4)

=====

The following is a DFT calculation (PBE-GGA) of an optimized crystal structure of LiLaCo2.

N(E_F): 3.21 states/eV/f.u.
formation energy: 362 meV/atom
mass density: 5.73 Mg/m³
energy above the most stable polymorph in this dataset: 307 meV per atom

a = 4.377 Å, b = 4.377 Å, c = 15.948 Å
α = 90.00°, β = 90.00°, γ = 90.00°
Space group I4_1/amd (No. 141, origin choice 2)
One atom of each set of equivalent atoms:
Li 0.000 0.250 0.375 (multiplicity 4)
La 0.000 0.250 0.875 (multiplicity 4)
Co 0.000 0.000 0.500 (multiplicity 8)

=====

The following is a DFT calculation (PBE-GGA) of an optimized crystal structure of LiLaCo2.

N(E_F): 4.24 states/eV/f.u.
formation energy: 149 meV/atom
mass density: 5.66 Mg/m³
energy above the most stable polymorph in this dataset: 94 meV per atom

a = 3.938 Å, b = 4.069 Å, c = 9.660 Å
α = 90.00°, β = 90.00°, γ = 90.00°
Space group Amm2 (No. 38)
One atom of each set of equivalent atoms:
Li 0.000 0.000 0.000 (multiplicity 2)
La 0.500 0.000 0.714 (multiplicity 2)
Co 0.000 0.000 0.323 (multiplicity 2)
Co 0.500 0.000 0.422 (multiplicity 2)

=====

The following is a DFT calculation (PBE-GGA) of an optimized crystal structure of LiLaCo.

N(E_F): 3.85 states/eV/f.u.
formation energy: 690 meV/atom
mass density: 5.08 Mg/m³
energy above the most stable polymorph in this dataset: 712 meV per atom

a = 6.445 Å, b = 6.445 Å, c = 6.445 Å
α = 90.00°, β = 90.00°, γ = 90.00°
Space group F-43m (No. 216)
One atom of each set of equivalent atoms:
Li 0.000 0.000 0.000 (multiplicity 4)
La 0.250 0.250 0.750 (multiplicity 4)
Co 0.000 0.000 0.500 (multiplicity 4)

=====

The following is a DFT calculation (PBE-GGA) of an optimized crystal structure of Li3LaCo.

N(E_F): 6.37 states/eV/f.u.
formation energy: 430 meV/atom
mass density: 3.56 Mg/m³
energy above the most stable polymorph in this dataset: 0 meV per atom

a = 4.672 Å, b = 4.672 Å, c = 4.672 Å
α = 90.00°, β = 90.00°, γ = 90.00°
Space group Pm-3m (No. 221)
One atom of each set of equivalent atoms:
Li 0.000 0.000 0.500 (multiplicity 3)
La 0.500 0.500 0.500 (multiplicity 1)
Co 0.000 0.000 0.000 (multiplicity 1)

=====

The following is a DFT calculation (PBE-GGA) of an optimized crystal structure of LiLa12Co6.

N(E_F): 17.93 states/eV/f.u.
formation energy: -111 meV/atom
mass density: 6.35 Mg/m³

a = 10.196 Å, b = 10.196 Å, c = 10.196 Å
α = 90.00°, β = 90.00°, γ = 90.00°
Space group Im-3 (No. 204)
One atom of each set of equivalent atoms:
Li 0.000 0.000 0.000 (multiplicity 2)
La 0.000 0.315 0.192 (multiplicity 24)
Co 0.000 0.119 0.500 (multiplicity 12)

=====

The following is a DFT calculation (PBE-GGA) of an optimized crystal structure of LiLaCo2.

N(E_F): 1.57 states/eV/f.u.
formation energy: 290 meV/atom
mass density: 6.97 Mg/m³
energy above the most stable polymorph in this dataset: 235 meV per atom

a = 6.311 Å, b = 6.311 Å, c = 6.311 Å
α = 90.00°, β = 90.00°, γ = 90.00°
Space group Fm-3m (No. 225)
One atom of each set of equivalent atoms:
Li 0.000 0.000 0.000 (multiplicity 4)
La 0.000 0.000 0.500 (multiplicity 4)
Co 0.250 0.250 0.250 (multiplicity 8)

=====

The following is a DFT calculation (PBE-GGA) of an optimized crystal structure of Li3LaCo.

N(E_F): 11.22 states/eV/f.u.
formation energy: 1795 meV/atom
mass density: 2.51 Mg/m³
energy above the most stable polymorph in this dataset: 1366 meV per atom

a = 5.246 Å, b = 5.246 Å, c = 5.246 Å
α = 90.00°, β = 90.00°, γ = 90.00°
Space group Pm-3m (No. 221)
One atom of each set of equivalent atoms:
Li 0.000 0.000 0.500 (multiplicity 3)
La 0.000 0.000 0.000 (multiplicity 1)
Co 0.500 0.500 0.500 (multiplicity 1)

=====

The following is a DFT calculation (PBE-GGA) of an optimized crystal structure of LiLaCo2.

N(E_F): 2.93 states/eV/f.u.
formation energy: 56 meV/atom
mass density: 5.95 Mg/m³
energy above the most stable polymorph in this dataset: 0 meV per atom

a = 4.0686 Å, b = 4.0686 Å, c = 15.4049 Å
α = 90.00°, β = 90.00°, γ = 120.00°
Space group R3m (No. 160, hexagonal axes)
One atom of each set of equivalent atoms:
Li 0.0000 0.0000 0.0000 (multiplicity 3)
La 0.0000 0.0000 0.8065 (multiplicity 3)
Co 0.0000 0.0000 0.2676 (multiplicity 3)
Co 0.0000 0.0000 0.5970 (multiplicity 3)

=====

- Look up the N(E_F) of the first one.
  19.12 states/eV/f.u.